First-principles (GGA+U) data for crystalline BMoN2O at its relaxed geometry, as listed in the Alexandria database. Values from VASP.

Cell and atoms, written as Quantum ESPRESSO input:
```
&SYSTEM
  ibrav = 0, nat = 5, ntyp = 4
/
ATOMIC_SPECIES
N 14.01 N.upf
B 10.81 B.upf
Mo 95.94 Mo.upf
O 16.00 O.upf
CELL_PARAMETERS angstrom
-0.278 0.285 3.289
-1.829 -2.762 0.085
3.105 -2.042 0.440
ATOMIC_POSITIONS angstrom
N -0.139 0.143 1.645
B 0.000 0.000 0.000
Mo 0.499 -2.259 1.907
O 1.553 -1.021 0.220
N -0.914 -1.381 0.042
```

- symmetry = P4/mmm
- DFT total energy (eV/cell) = -32.86